The following is a GGA+U calculation of a geometry-optimized CuMoNF2 structure, from the Alexandria database.

## Properties
distance to the lowest polymorph of the same formula: 9.770 kcal/mol of atoms
density of states at the Fermi level: 0.558 states/eV/atom

a b c (Å): 3.8139 3.8139 4.1624
angles (deg): 90.00 90.00 90.00
Fractional coordinates of all 5 atoms:
Mo: 0.5000 0.5000 0.5000
N: 0.0000 0.0000 0.5000
Cu: 0.0000 0.0000 0.0000
F: 0.0000 0.5000 0.0000
F: 0.5000 0.0000 0.0000